Material: Sr3BeCo
Method: DFT, PBE
State: optimized geometry Values from VASP.

Results
* DFT total energy: -2.528 eV per atom
* magnetic moment: 0.00 Bohr magnetons per cell
* ΔE_f: 647 meV per atom

```
&SYSTEM
  ibrav = 0, nat = 5, ntyp = 3
/
ATOMIC_SPECIES
Co 58.93 Co.upf
Sr 87.62 Sr.upf
Be 9.01 Be.upf
ATOMIC_POSITIONS crystal
Co 0.0000 0.0000 0.0000
Sr 0.0000 0.0000 0.5000
Sr 0.0000 0.5000 0.0000
Sr 0.5000 0.0000 0.0000
Be 0.5000 0.5000 0.5000
CELL_PARAMETERS angstrom
5.6052 0.0000 0.0000
0.0000 5.6052 0.0000
0.0000 0.0000 5.6052
```

Material: LiHg2Se
Method: DFT, PBE
State: optimized geometry Values from VASP.

Results
* DFT total energy: -1.841 eV per atom
* formation energy (no corrections): -0.3409 eV/atom
* magnetic moment: 0.00 Bohr magnetons per cell

```
&SYSTEM
  ibrav = 0, nat = 4, ntyp = 3
/
ATOMIC_SPECIES
Li 6.94 Li.upf
Se 78.96 Se.upf
Hg 200.59 Hg.upf
ATOMIC_POSITIONS crystal
Li 0.5000 0.2500 0.2500
Se 0.5000 0.7500 0.7500
Hg 0.0000 0.4955 0.4955
Hg 0.0000 0.0045 0.0045
CELL_PARAMETERS angstrom
5.2453 0.0000 0.0000
0.0000 4.1815 -0.0015
0.0000 0.0200 4.1889
```

Material: Cu2SiIr
Method: DFT, PBE
State: optimized geometry Values from VASP.

Results
* DFT total energy: -5.507 eV per atom
* formation energy (no corrections): 0.1119 eV/atom
* magnetic moment: 0.00 Bohr magnetons per cell

```
&SYSTEM
  ibrav = 0, nat = 8, ntyp = 3
/
ATOMIC_SPECIES
Si 28.09 Si.upf
Ir 192.22 Ir.upf
Cu 63.55 Cu.upf
ATOMIC_POSITIONS crystal
Si 0.2500 0.7500 0.5000
Si 0.5000 0.5000 0.0000
Ir 0.7500 0.2500 0.5000
Ir 0.0000 0.0000 0.0000
Cu 0.3750 0.3778 0.7500
Cu 0.8750 0.8722 0.7500
Cu 0.1278 0.6250 0.2500
Cu 0.6222 0.1250 0.2500
CELL_PARAMETERS angstrom
3.5004 0.0000 0.0000
0.0000 3.5004 0.0000
1.7502 1.7502 9.1063
```

Material: Dy9Ho4In11
Method: DFT, PBE
State: optimized geometry Values from VASP.

Results
* DFT total energy: -4.136 eV per atom
* magnetic moment: 0.00 Bohr magnetons per cell
* ΔE_f: -392 meV per atom

```
&SYSTEM
  ibrav = 0, nat = 24, ntyp = 3
/
ATOMIC_SPECIES
Dy 162.50 Dy.upf
Ho 164.93 Ho.upf
In 114.82 In.upf
ATOMIC_POSITIONS crystal
Dy 0.5000 0.0138 0.2034
Dy 0.5000 0.8361 0.3872
Dy 0.5000 0.2034 0.0138
Dy 0.5000 0.5000 0.5000
Dy 0.5000 0.7966 0.9862
Dy 0.5000 0.9862 0.7966
Dy 0.5000 0.3872 0.8361
Dy 0.5000 0.6128 0.1639
Dy 0.5000 0.1639 0.6128
Ho 0.5000 0.2466 0.4106
Ho 0.5000 0.7534 0.5894
Ho 0.5000 0.5894 0.7534
Ho 0.5000 0.4106 0.2466
In 0.0000 0.5905 0.9561
In 0.0000 0.8130 0.1870
In 0.0000 0.9561 0.5905
In 0.0000 0.3787 0.6213
In 0.0000 0.6213 0.3787
In 0.0000 0.1870 0.8130
In 0.0000 0.7919 0.7919
In 0.0000 0.2081 0.2081
In 0.0000 0.0000 0.0000
In 0.0000 0.0439 0.4095
In 0.0000 0.4095 0.0439
CELL_PARAMETERS angstrom
-2.4431 1.8800 1.6551
-8.6052 -11.1307 -0.0587
7.9999 0.2084 11.5716
```

- Look up the DFT total energy of the third one.
  -5.507 eV per atom